No. 1
{
  "formula": "TbPm2Pu3Te6",
  "functional": "PBE",
  "state": "relaxed",
  "dos_at_fermi_per_ev_cell": 33.282,
  "formation_energy_uncorrected_ev_per_atom": -1.2552,
  "lattice": [[9.685, -2.207, 0.000], [9.685, 2.207, 0.000], [-2.130, 0.000, 8.638]],
  "species": ["Tb", "Pm", "Pm", "Pu", "Pu", "Pu", "Te", "Te", "Te", "Te", "Te", "Te"],
  "frac_coords": [[0.000, 0.000, 0.000], [0.333, 0.333, 0.665], [0.667, 0.667, 0.335], [0.000, 0.000, 0.500], [0.332, 0.332, 0.166], [0.668, 0.668, 0.834], [0.165, 0.165, 0.081], [0.166, 0.166, 0.586], [0.499, 0.499, 0.247], [0.501, 0.501, 0.753], [0.834, 0.834, 0.414], [0.835, 0.835, 0.919]]
}

***

No. 2
{
  "formula": "TbPmPuTl",
  "functional": "PBE",
  "state": "relaxed",
  "delta_e_f_ev_per_atom": 0.10,
  "dos_at_fermi_per_ev_cell": 11.037,
  "lattice": [[0.000, 3.879, 3.879], [3.879, 0.000, 3.879], [3.879, 3.879, 0.000]],
  "species": ["Tb", "Pm", "Pu", "Tl"],
  "frac_coords": [[0.000, 0.000, 0.000], [0.750, 0.750, 0.750], [0.500, 0.500, 0.500], [0.250, 0.250, 0.250]]
}

***

No. 3
{
  "formula": "Tb2Pm3Tm6Pu",
  "functional": "PBE",
  "state": "relaxed",
  "delta_e_f_ev_per_atom": 0.04,
  "dos_at_fermi_per_ev_cell": 21.778,
  "lattice": [[3.063, -5.305, 0.000], [3.063, 5.305, 0.000], [-2.043, 0.000, 11.421]],
  "species": ["Tb", "Tb", "Pm", "Pm", "Pm", "Tm", "Tm", "Tm", "Tm", "Tm", "Tm", "Pu"],
  "frac_coords": [[0.167, 0.833, 0.000], [0.833, 0.167, 0.000], [0.000, 0.000, 0.500], [0.333, 0.667, 0.500], [0.667, 0.333, 0.500], [0.089, 0.418, 0.754], [0.253, 0.253, 0.246], [0.418, 0.089, 0.754], [0.582, 0.911, 0.246], [0.747, 0.747, 0.754], [0.911, 0.582, 0.246], [0.500, 0.500, 0.000]]
}

***

No. 4
{
  "formula": "TbPmTmPu",
  "functional": "PBE",
  "state": "relaxed",
  "delta_e_f_ev_per_atom": 0.20,
  "dos_at_fermi_per_ev_cell": 11.431,
  "lattice": [[0.000, 3.964, 3.964], [3.964, 0.000, 3.964], [3.964, 3.964, 0.000]],
  "species": ["Tb", "Pm", "Tm", "Pu"],
  "frac_coords": [[0.000, 0.000, 0.000], [0.500, 0.500, 0.500], [0.750, 0.750, 0.750], [0.250, 0.250, 0.250]]
}

***

No. 5
{
  "formula": "Tb6Pm2Y3Pu",
  "functional": "PBE",
  "state": "relaxed",
  "delta_e_f_ev_per_atom": 0.05,
  "dos_at_fermi_per_ev_cell": 26.311,
  "lattice": [[3.090, -5.357, 0.000], [3.090, 5.357, 0.000], [-2.071, 0.000, 11.610]],
  "species": ["Tb", "Tb", "Tb", "Tb", "Tb", "Tb", "Pm", "Pm", "Y", "Y", "Y", "Pu"],
  "frac_coords": [[0.083, 0.412, 0.749], [0.246, 0.246, 0.251], [0.412, 0.083, 0.749], [0.588, 0.917, 0.251], [0.754, 0.754, 0.749], [0.917, 0.588, 0.251], [0.333, 0.667, 0.500], [0.667, 0.333, 0.500], [0.167, 0.833, 0.000], [0.500, 0.500, 0.000], [0.833, 0.167, 0.000], [0.000, 0.000, 0.500]]
}

***

No. 6
{
  "formula": "Tb2Pm3Y6Pu",
  "functional": "PBE",
  "state": "relaxed",
  "delta_e_f_ev_per_atom": 0.04,
  "dos_at_fermi_per_ev_cell": 23.745,
  "lattice": [[3.100, -5.371, 0.000], [3.100, 5.371, 0.000], [-2.070, 0.000, 11.605]],
  "species": ["Tb", "Tb", "Pm", "Pm", "Pm", "Y", "Y", "Y", "Y", "Y", "Y", "Pu"],
  "frac_coords": [[0.167, 0.833, 0.000], [0.833, 0.167, 0.000], [0.000, 0.000, 0.500], [0.333, 0.667, 0.500], [0.667, 0.333, 0.500], [0.089, 0.418, 0.754], [0.252, 0.252, 0.246], [0.418, 0.089, 0.754], [0.582, 0.911, 0.246], [0.748, 0.748, 0.754], [0.911, 0.582, 0.246], [0.500, 0.500, 0.000]]
}

***

No. 7
{
  "formula": "Tb3Pm2Y6Pu",
  "functional": "PBE",
  "state": "relaxed",
  "delta_e_f_ev_per_atom": 0.05,
  "dos_at_fermi_per_ev_cell": 25.571,
  "lattice": [[3.093, -5.361, 0.000], [3.093, 5.361, 0.000], [-2.070, 0.000, 11.600]],
  "species": ["Tb", "Tb", "Tb", "Pm", "Pm", "Y", "Y", "Y", "Y", "Y", "Y", "Pu"],
  "frac_coords": [[0.000, 0.000, 0.000], [0.333, 0.667, 0.000], [0.667, 0.333, 0.000], [0.167, 0.833, 0.500], [0.833, 0.167, 0.500], [0.087, 0.417, 0.250], [0.254, 0.254, 0.750], [0.417, 0.087, 0.250], [0.583, 0.913, 0.750], [0.746, 0.746, 0.250], [0.913, 0.583, 0.750], [0.500, 0.500, 0.500]]
}

***

No. 8
{
  "formula": "TbPmPuZn",
  "functional": "PBE",
  "state": "relaxed",
  "delta_e_f_ev_per_atom": 0.13,
  "dos_at_fermi_per_ev_cell": 14.912,
  "lattice": [[0.000, 3.775, 3.775], [3.775, 0.000, 3.775], [3.775, 3.775, 0.000]],
  "species": ["Tb", "Pm", "Pu", "Zn"],
  "frac_coords": [[0.000, 0.000, 0.000], [0.500, 0.500, 0.500], [0.750, 0.750, 0.750], [0.250, 0.250, 0.250]]
}

***

No. 9
{
  "formula": "Pm2PuTc2",
  "functional": "PBE",
  "state": "relaxed",
  "delta_e_f_ev_per_atom": -0.05,
  "dos_at_fermi_per_ev_cell": 14.473,
  "lattice": [[4.980, -3.010, 0.000], [4.980, 3.010, 0.000], [-1.314, 0.000, 7.893]],
  "species": ["Pm", "Pm", "Pm", "Pm", "Pu", "Pu", "Tc", "Tc", "Tc", "Tc"],
  "frac_coords": [[0.026, 0.278, 0.153], [0.278, 0.026, 0.653], [0.722, 0.974, 0.347], [0.974, 0.722, 0.847], [0.369, 0.631, 0.250], [0.631, 0.369, 0.750], [0.249, 0.503, 0.487], [0.497, 0.751, 0.013], [0.503, 0.249, 0.987], [0.751, 0.497, 0.513]]
}

***

No. 10
{
  "formula": "Pm2PuTc",
  "functional": "PBE",
  "state": "relaxed",
  "delta_e_f_ev_per_atom": 0.19,
  "dos_at_fermi_per_ev_cell": 8.828,
  "lattice": [[3.503, 0.000, 0.000], [0.000, 3.503, 0.000], [0.000, 0.000, 8.671]],
  "species": ["Pm", "Pm", "Pu", "Tc"],
  "frac_coords": [[0.000, 0.000, 0.196], [0.000, 0.000, 0.804], [0.500, 0.500, 0.500], [0.500, 0.500, 0.000]]
}

***

No. 11
{
  "formula": "Pm2PuTc",
  "functional": "PBE",
  "state": "relaxed",
  "delta_e_f_ev_per_atom": 0.35,
  "dos_at_fermi_per_ev_cell": 11.284,
  "lattice": [[0.000, 3.674, 3.674], [3.674, 0.000, 3.674], [3.674, 3.674, 0.000]],
  "species": ["Pm", "Pm", "Pu", "Tc"],
  "frac_coords": [[0.250, 0.250, 0.250], [0.750, 0.750, 0.750], [0.000, 0.000, 0.000], [0.500, 0.500, 0.500]]
}

***

No. 12
{
  "formula": "PmPuZnTc",
  "functional": "PBE",
  "state": "relaxed",
  "delta_e_f_ev_per_atom": 0.07,
  "dos_at_fermi_per_ev_cell": 9.904,
  "lattice": [[0.000, 3.516, 3.516], [3.516, 0.000, 3.516], [3.516, 3.516, 0.000]],
  "species": ["Pm", "Pu", "Zn", "Tc"],
  "frac_coords": [[0.000, 0.000, 0.000], [0.500, 0.500, 0.500], [0.250, 0.250, 0.250], [0.750, 0.750, 0.750]]
}

***

No. 13
{
  "formula": "PmPu2Te3",
  "functional": "PBE",
  "state": "relaxed",
  "dos_at_fermi_per_ev_cell": 45.206,
  "formation_energy_uncorrected_ev_per_atom": -1.1903,
  "lattice": [[4.393, 0.000, 0.000], [-2.197, 3.805, 0.000], [0.000, 0.000, 22.309]],
  "species": ["Pm", "Pm", "Pu", "Pu", "Pu", "Pu", "Te", "Te", "Te", "Te", "Te", "Te"],
  "frac_coords": [[0.000, 0.000, 0.250], [0.000, 0.000, 0.750], [0.333, 0.667, 0.083], [0.333, 0.667, 0.417], [0.667, 0.333, 0.583], [0.667, 0.333, 0.917], [0.000, 0.000, 0.000], [0.000, 0.000, 0.500], [0.333, 0.667, 0.664], [0.333, 0.667, 0.836], [0.667, 0.333, 0.164], [0.667, 0.333, 0.336]]
}

***

No. 14
{
  "formula": "Pm4Pu3Te8",
  "functional": "PBE",
  "state": "relaxed",
  "dos_at_fermi_per_ev_cell": 36.951,
  "formation_energy_uncorrected_ev_per_atom": -1.3144,
  "lattice": [[6.271, -6.279, 0.000], [6.271, 6.279, 0.000], [-6.263, 0.000, 6.287]],
  "species": ["Pm", "Pm", "Pm", "Pm", "Pu", "Pu", "Pu", "Te", "Te", "Te", "Te", "Te", "Te", "Te", "Te"],
  "frac_coords": [[0.000, 0.000, 0.000], [0.000, 0.500, 0.000], [0.500, 0.000, 0.000], [0.500, 0.500, 0.500], [0.000, 0.000, 0.500], [0.000, 0.500, 0.500], [0.500, 0.000, 0.500], [0.249, 0.751, 0.500], [0.253, 0.253, 0.508], [0.255, 0.255, 0.999], [0.255, 0.745, 0.000], [0.745, 0.255, 0.000], [0.745, 0.745, 0.001], [0.747, 0.747, 0.492], [0.751, 0.249, 0.500]]
}

***

No. 15
{
  "formula": "PmPu6Te8",
  "functional": "PBE",
  "state": "relaxed",
  "dos_at_fermi_per_ev_cell": 68.475,
  "formation_energy_uncorrected_ev_per_atom": -1.1501,
  "lattice": [[0.000, 6.270, 6.270], [6.270, 0.000, 6.270], [6.270, 6.270, 0.000]],
  "species": ["Pm", "Pu", "Pu", "Pu", "Pu", "Pu", "Pu", "Te", "Te", "Te", "Te", "Te", "Te", "Te", "Te"],
  "frac_coords": [[0.000, 0.000, 0.000], [0.000, 0.000, 0.500], [0.000, 0.500, 0.000], [0.000, 0.500, 0.500], [0.500, 0.000, 0.000], [0.500, 0.000, 0.500], [0.500, 0.500, 0.000], [0.250, 0.250, 0.250], [0.254, 0.254, 0.746], [0.254, 0.746, 0.254], [0.254, 0.746, 0.746], [0.746, 0.254, 0.254], [0.746, 0.254, 0.746], [0.746, 0.746, 0.254], [0.750, 0.750, 0.750]]
}

***

No. 16
{
  "formula": "PmPuTe2",
  "functional": "PBE",
  "state": "relaxed",
  "dos_at_fermi_per_ev_cell": 11.074,
  "formation_energy_uncorrected_ev_per_atom": -1.2695,
  "lattice": [[2.215, 1.279, 7.326], [-2.215, 1.279, 7.326], [0.000, -2.558, 7.326]],
  "species": ["Pm", "Pu", "Te", "Te"],
  "frac_coords": [[0.000, 0.000, 0.000], [0.500, 0.500, 0.500], [0.249, 0.249, 0.249], [0.751, 0.751, 0.751]]
}

***

No. 17
{
  "formula": "Pm2PuTe",
  "functional": "PBE",
  "state": "relaxed",
  "dos_at_fermi_per_ev_cell": 8.278,
  "formation_energy_uncorrected_ev_per_atom": -0.4854,
  "lattice": [[3.918, 0.000, 0.000], [0.000, 3.918, 0.000], [0.000, 0.000, 7.793]],
  "species": ["Pm", "Pm", "Pu", "Te"],
  "frac_coords": [[0.000, 0.000, 0.230], [0.000, 0.000, 0.770], [0.500, 0.500, 0.500], [0.500, 0.500, 0.000]]
}

***

No. 18
{
  "formula": "Pm5Pu2Te12",
  "functional": "PBE",
  "state": "relaxed",
  "dos_at_fermi_per_ev_cell": 23.928,
  "formation_energy_uncorrected_ev_per_atom": -1.1006,
  "lattice": [[8.708, -4.163, 0.000], [8.708, 4.163, 0.000], [-3.057, 0.000, 9.643]],
  "species": ["Pm", "Pm", "Pm", "Pm", "Pm", "Pu", "Pu", "Te", "Te", "Te", "Te", "Te", "Te", "Te", "Te", "Te", "Te", "Te", "Te"],
  "frac_coords": [[0.000, 0.000, 0.000], [0.295, 0.295, 0.137], [0.318, 0.318, 0.675], [0.682, 0.682, 0.325], [0.705, 0.705, 0.863], [0.259, 0.741, 0.500], [0.741, 0.259, 0.500], [0.012, 0.012, 0.307], [0.085, 0.557, 0.405], [0.106, 0.601, 0.937], [0.399, 0.894, 0.063], [0.443, 0.915, 0.595], [0.494, 0.494, 0.269], [0.506, 0.506, 0.731], [0.557, 0.085, 0.405], [0.601, 0.106, 0.937], [0.894, 0.399, 0.063], [0.915, 0.443, 0.595], [0.988, 0.988, 0.693]]
}

***

No. 19
{
  "formula": "PmPuTe2",
  "functional": "PBE",
  "state": "relaxed",
  "dos_at_fermi_per_ev_cell": 10.323,
  "formation_energy_uncorrected_ev_per_atom": -1.2155,
  "lattice": [[2.148, 1.240, 7.837], [-2.148, 1.240, 7.837], [0.000, -2.480, 7.837]],
  "species": ["Pm", "Pu", "Te", "Te"],
  "frac_coords": [[0.000, 0.000, 0.000], [0.827, 0.827, 0.827], [0.246, 0.246, 0.246], [0.416, 0.416, 0.416]]
}

***

No. 20
{
  "formula": "Pm4PuTe7",
  "functional": "PBE",
  "state": "relaxed",
  "dos_at_fermi_per_ev_cell": 15.484,
  "formation_energy_uncorrected_ev_per_atom": -1.3491,
  "lattice": [[7.298, -2.173, 0.000], [7.298, 2.173, 0.000], [-3.388, 0.000, 13.006]],
  "species": ["Pm", "Pm", "Pm", "Pm", "Pu", "Te", "Te", "Te", "Te", "Te", "Te", "Te"],
  "frac_coords": [[0.000, 0.000, 0.000], [0.184, 0.184, 0.765], [0.580, 0.580, 0.381], [0.882, 0.882, 0.573], [0.764, 0.764, 0.148], [0.144, 0.144, 0.227], [0.220, 0.220, 0.526], [0.381, 0.381, 0.073], [0.544, 0.544, 0.621], [0.621, 0.621, 0.921], [0.845, 0.845, 0.790], [0.919, 0.919, 0.357]]
}

***

No. 21
{
  "formula": "Pm5PuTe6",
  "functional": "PBE",
  "state": "relaxed",
  "dos_at_fermi_per_ev_cell": 15.510,
  "formation_energy_uncorrected_ev_per_atom": -1.3684,
  "lattice": [[3.852, -6.678, 0.000], [3.852, 6.678, 0.000], [-2.569, 0.000, 7.317]],
  "species": ["Pm", "Pm", "Pm", "Pm", "Pm", "Pu", "Te", "Te", "Te", "Te", "Te", "Te"],
  "frac_coords": [[0.000, 0.000, 0.000], [0.168, 0.832, 0.500], [0.330, 0.670, 0.000], [0.670, 0.330, 0.000], [0.832, 0.168, 0.500], [0.500, 0.500, 0.500], [0.087, 0.417, 0.252], [0.253, 0.253, 0.750], [0.417, 0.087, 0.252], [0.583, 0.913, 0.748], [0.747, 0.747, 0.250], [0.913, 0.583, 0.748]]
}

***

No. 22
{
  "formula": "Pm5PuTe8",
  "functional": "PBE",
  "state": "relaxed",
  "dos_at_fermi_per_ev_cell": 16.622,
  "formation_energy_uncorrected_ev_per_atom": -1.3758,
  "lattice": [[-4.744, 4.744, 4.731], [4.744, -4.744, 4.731], [4.744, 4.744, -4.731]],
  "species": ["Pm", "Pm", "Pm", "Pm", "Pm", "Pu", "Te", "Te", "Te", "Te", "Te", "Te", "Te", "Te"],
  "frac_coords": [[0.000, 0.000, 0.000], [0.128, 0.253, 0.626], [0.498, 0.872, 0.125], [0.627, 0.502, 0.374], [0.747, 0.373, 0.875], [0.250, 0.750, 0.500], [0.024, 0.624, 0.750], [0.224, 0.474, 0.100], [0.374, 0.123, 0.900], [0.376, 0.126, 0.400], [0.526, 0.626, 0.750], [0.727, 0.976, 0.600], [0.874, 0.273, 0.250], [0.877, 0.776, 0.250]]
}

***

No. 23
{
  "formula": "PmPu2Te4",
  "functional": "PBE",
  "state": "relaxed",
  "dos_at_fermi_per_ev_cell": 50.253,
  "formation_energy_uncorrected_ev_per_atom": -1.1571,
  "lattice": [[2.168, -7.233, 0.000], [2.168, 7.233, 0.000], [0.000, 0.000, 15.153]],
  "species": ["Pm", "Pm", "Pu", "Pu", "Pu", "Pu", "Te", "Te", "Te", "Te", "Te", "Te", "Te", "Te"],
  "frac_coords": [[0.119, 0.881, 0.750], [0.881, 0.119, 0.250], [0.365, 0.635, 0.566], [0.365, 0.635, 0.934], [0.635, 0.365, 0.066], [0.635, 0.365, 0.434], [0.000, 0.000, 0.000], [0.000, 0.000, 0.500], [0.278, 0.722, 0.125], [0.278, 0.722, 0.375], [0.461, 0.539, 0.750], [0.539, 0.461, 0.250], [0.722, 0.278, 0.625], [0.722, 0.278, 0.875]]
}

***

Number 1: total magnetic moment 17.81 μB per formula unit. Number 2: total magnetic moment 6.83 μB per formula unit. Number 3: total magnetic moment 6.46 μB per formula unit. Number 4: total magnetic moment 7.46 μB per formula unit. Number 5: total magnetic moment 6.32 μB per formula unit. Number 6: total magnetic moment 6.53 μB per formula unit. Number 7: total magnetic moment 6.36 μB per formula unit. Number 8: total magnetic moment 6.36 μB per formula unit. Number 9: total magnetic moment 3.38 μB per formula unit. Number 10: total magnetic moment 6.93 μB per formula unit. Number 11: total magnetic moment 5.89 μB per formula unit. Number 12: total magnetic moment 5.12 μB per formula unit. Number 13: total magnetic moment 11.42 μB per formula unit. Number 14: total magnetic moment 17.62 μB per formula unit. Number 15: total magnetic moment 34.73 μB per formula unit. Number 16: total magnetic moment 5.97 μB per formula unit. Number 17: total magnetic moment 6.23 μB per formula unit. Number 18: total magnetic moment 7.06 μB per formula unit. Number 19: total magnetic moment 5.46 μB per formula unit. Number 20: total magnetic moment 5.70 μB per formula unit. Number 21: total magnetic moment 6.00 μB per formula unit. Number 22: total magnetic moment 6.59 μB per formula unit. Number 23: total magnetic moment 10.99 μB per formula unit.